A plane-wave DFT calculation with GGA-PBE was carried out for an optimized crystal structure of UAlVCr.

Geometry as CIF:
```
data_UAlVCr
_symmetry_space_group_name_H-M 'F -4 3 m'
_symmetry_Int_Tables_number 216
_symmetry_space_group_name_Hall 'F -4 2 3'
_cell_length_a 6.259
_cell_length_b 6.259
_cell_length_c 6.259
_cell_angle_alpha 90.00
_cell_angle_beta 90.00
_cell_angle_gamma 90.00
loop_
_atom_site_label
_atom_site_type_symbol
_atom_site_fract_x
_atom_site_fract_y
_atom_site_fract_z
U1 U 0.000 0.000 0.000
Al1 Al 0.000 0.000 0.500
V1 V 0.250 0.250 0.750
Cr1 Cr 0.250 0.250 0.250
```

Results
**Final energy**: -8.40 eV/atom

---

A plane-wave DFT calculation with GGA-PBE was carried out for an optimized crystal structure of Al2VCr6.

Geometry as CIF:
```
data_Al2VCr6
_symmetry_space_group_name_H-M 'C 1 2/m 1'
_symmetry_Int_Tables_number 12
_cell_length_a 10.244
_cell_length_b 8.211
_cell_length_c 2.833
_cell_angle_alpha 90.00
_cell_angle_beta 104.57
_cell_angle_gamma 90.00
loop_
_symmetry_equiv_pos_as_xyz
'x,y,z'
'-x,-y,-z'
'-x,y,-z'
'x,-y,z'
'x+1/2,y+1/2,z'
'-x+1/2,-y+1/2,-z'
'-x+1/2,y+1/2,-z'
'x+1/2,-y+1/2,z'
loop_
_atom_site_label
_atom_site_type_symbol
_atom_site_fract_x
_atom_site_fract_y
_atom_site_fract_z
Al1 Al 0.140 0.000 0.133
V1 V 0.000 0.500 0.000
Cr1 Cr 0.000 0.214 0.500
Cr2 Cr 0.185 0.330 0.200
```

Results
**Final energy**: -8.12 eV/atom

---

A plane-wave DFT calculation with GGA-PBE was carried out for an optimized crystal structure of Al11V9Cr4.

Geometry as CIF:
```
data_Al11V9Cr4
_symmetry_space_group_name_H-M 'C m m m'
_symmetry_Int_Tables_number 65
_symmetry_space_group_name_Hall '-C 2 2'
_cell_length_a 12.271
_cell_length_b 20.965
_cell_length_c 2.630
_cell_angle_alpha 90.00
_cell_angle_beta 90.00
_cell_angle_gamma 90.00
loop_
_atom_site_label
_atom_site_type_symbol
_atom_site_fract_x
_atom_site_fract_y
_atom_site_fract_z
Al1 Al 0.000 0.000 0.000
Al2 Al 0.000 0.187 0.000
Al3 Al 0.000 0.387 0.000
Al4 Al 0.211 0.190 0.000
Al5 Al 0.242 0.500 0.000
V1 V 0.000 0.500 0.500
V2 V 0.100 0.288 0.500
V3 V 0.113 0.090 0.500
Cr1 Cr 0.184 0.397 0.500
```

Results
**Final energy**: -6.80 eV/atom

---

A plane-wave DFT calculation with GGA-PBE was carried out for an optimized crystal structure of Al2VCr.

Geometry as CIF:
```
data_Al2VCr
_symmetry_space_group_name_H-M 'P 4/m m m'
_symmetry_Int_Tables_number 123
_symmetry_space_group_name_Hall '-P 4 2'
_cell_length_a 2.640
_cell_length_b 2.640
_cell_length_c 7.896
_cell_angle_alpha 90.00
_cell_angle_beta 90.00
_cell_angle_gamma 90.00
loop_
_atom_site_label
_atom_site_type_symbol
_atom_site_fract_x
_atom_site_fract_y
_atom_site_fract_z
Al1 Al 0.000 0.000 0.244
V1 V 0.500 0.500 0.500
Cr1 Cr 0.500 0.500 0.000
```

Results
**Energy relative to the lowest polymorph listed for this composition**: 0.040 eV per atom

---

A plane-wave DFT calculation with GGA-PBE was carried out for an optimized crystal structure of AlVCr2.

Geometry as CIF:
```
data_AlVCr2
_symmetry_space_group_name_H-M 'P m m a'
_symmetry_Int_Tables_number 51
_cell_length_a 4.938
_cell_length_b 4.047
_cell_length_c 5.162
_cell_angle_alpha 90.00
_cell_angle_beta 90.00
_cell_angle_gamma 90.00
loop_
_symmetry_equiv_pos_as_xyz
'x,y,z'
'-x,-y,-z'
'-x+1/2,-y,z'
'x+1/2,y,-z'
'x+1/2,-y,-z'
'-x+1/2,y,z'
'-x,y,-z'
'x,-y,z'
loop_
_atom_site_label
_atom_site_type_symbol
_atom_site_fract_x
_atom_site_fract_y
_atom_site_fract_z
Al1 Al 0.250 0.000 0.001
V1 V 0.250 0.000 0.500
Cr1 Cr 0.000 0.500 0.240
```

Results
**Final energy**: -7.95 eV/atom

---

A plane-wave DFT calculation with GGA-PBE was carried out for an optimized crystal structure of AlVCr2.

Geometry as CIF:
```
data_AlVCr2
_symmetry_space_group_name_H-M 'P 4/m m m'
_symmetry_Int_Tables_number 123
_symmetry_space_group_name_Hall '-P 4 2'
_cell_length_a 2.999
_cell_length_b 2.999
_cell_length_c 5.890
_cell_angle_alpha 90.00
_cell_angle_beta 90.00
_cell_angle_gamma 90.00
loop_
_atom_site_label
_atom_site_type_symbol
_atom_site_fract_x
_atom_site_fract_y
_atom_site_fract_z
Al1 Al 0.000 0.000 0.000
V1 V 0.000 0.000 0.500
Cr1 Cr 0.500 0.500 0.265
```

Results
**Final energy**: -8.09 eV/atom

---

A plane-wave DFT calculation with GGA-PBE was carried out for an optimized crystal structure of Al6VCr.

Geometry as CIF:
```
data_Al6VCr
_symmetry_space_group_name_H-M 'F m m m'
_symmetry_Int_Tables_number 69
_symmetry_space_group_name_Hall '-F 2 2'
_cell_length_a 5.839
_cell_length_b 7.583
_cell_length_c 10.835
_cell_angle_alpha 90.00
_cell_angle_beta 90.00
_cell_angle_gamma 90.00
loop_
_atom_site_label
_atom_site_type_symbol
_atom_site_fract_x
_atom_site_fract_y
_atom_site_fract_z
Al1 Al 0.000 0.000 0.248
Al2 Al 0.250 0.250 0.120
V1 V 0.000 0.000 0.500
Cr1 Cr 0.000 0.000 0.000
```

Results
**Final energy**: -5.25 eV/atom

---

A plane-wave DFT calculation with GGA-PBE was carried out for an optimized crystal structure of AlVCr3.

Geometry as CIF:
```
data_AlVCr3
_symmetry_space_group_name_H-M 'C 1 m 1'
_symmetry_Int_Tables_number 8
_cell_length_a 9.242
_cell_length_b 2.923
_cell_length_c 6.496
_cell_angle_alpha 90.00
_cell_angle_beta 134.62
_cell_angle_gamma 90.00
loop_
_symmetry_equiv_pos_as_xyz
'x,y,z'
'x,-y,z'
'x+1/2,y+1/2,z'
'x+1/2,-y+1/2,z'
loop_
_atom_site_label
_atom_site_type_symbol
_atom_site_fract_x
_atom_site_fract_y
_atom_site_fract_z
Al1 Al 0.000 0.000 0.000
V1 V 0.315 0.500 0.201
Cr1 Cr 0.123 0.500 0.434
Cr2 Cr 0.189 0.000 0.793
Cr3 Cr 0.390 0.000 0.576
```

Results
**Energy relative to the lowest polymorph listed for this composition**: 0.000 eV per atom